Entry P
TbPu2In | PBE-GGA | optimized geometry

```
data_TbPu2In
_chemical_formula_sum 'Tb1 Pu2 In1'
_cell_length_a 4.553
_cell_length_b 4.553
_cell_length_c 5.151
_cell_angle_alpha 90.00
_cell_angle_beta 90.00
_cell_angle_gamma 90.00
_space_group_name_H-M_alt 'P 1'
_space_group_IT_number 1
_space_group_name_Hall 'P 1'
loop_
_atom_site_label
_atom_site_type_symbol
_atom_site_fract_x
_atom_site_fract_y
_atom_site_fract_z
Tb1 Tb 0.000 0.000 0.000
Pu1 Pu 0.000 0.500 0.500
Pu2 Pu 0.500 0.000 0.500
In1 In 0.500 0.500 0.000
```

Output
calculated density	11.8	g/cm3



Entry Q
TbPu2In | PBE-GGA | optimized geometry

```
data_TbPu2In
_chemical_formula_sum 'Tb4 Pu8 In4'
_cell_length_a 7.621
_cell_length_b 7.621
_cell_length_c 7.621
_cell_angle_alpha 90.00
_cell_angle_beta 90.00
_cell_angle_gamma 90.00
_space_group_name_H-M_alt 'P 1'
_space_group_IT_number 1
_space_group_name_Hall 'P 1'
loop_
_atom_site_label
_atom_site_type_symbol
_atom_site_fract_x
_atom_site_fract_y
_atom_site_fract_z
Tb1 Tb 0.000 0.000 0.000
Tb2 Tb 0.000 0.500 0.500
Tb3 Tb 0.500 0.000 0.500
Tb4 Tb 0.500 0.500 0.000
Pu1 Pu 0.250 0.250 0.250
Pu2 Pu 0.250 0.250 0.750
Pu3 Pu 0.250 0.750 0.250
Pu4 Pu 0.250 0.750 0.750
Pu5 Pu 0.750 0.250 0.250
Pu6 Pu 0.750 0.250 0.750
Pu7 Pu 0.750 0.750 0.250
Pu8 Pu 0.750 0.750 0.750
In1 In 0.000 0.000 0.500
In2 In 0.000 0.500 0.000
In3 In 0.500 0.000 0.000
In4 In 0.500 0.500 0.500
```

Output
calculated density	11.4	g/cm3



Most stable: entry P. Least stable: entry Q.



Entry P
PuInTc | PBE-GGA | optimized geometry

```
data_PuInTc
_chemical_formula_sum 'Pu4 In4 Tc4'
_cell_length_a 3.919
_cell_length_b 6.194
_cell_length_c 10.684
_cell_angle_alpha 90.00
_cell_angle_beta 90.00
_cell_angle_gamma 90.00
_space_group_name_H-M_alt 'P 1'
_space_group_IT_number 1
_space_group_name_Hall 'P 1'
loop_
_atom_site_label
_atom_site_type_symbol
_atom_site_fract_x
_atom_site_fract_y
_atom_site_fract_z
Pu1 Pu 0.000 0.000 0.220
Pu2 Pu 0.000 0.000 0.780
Pu3 Pu 0.500 0.500 0.280
Pu4 Pu 0.500 0.500 0.720
In1 In 0.000 0.263 0.500
In2 In 0.000 0.737 0.500
In3 In 0.500 0.237 0.000
In4 In 0.500 0.763 0.000
Tc1 Tc 0.000 0.500 0.129
Tc2 Tc 0.000 0.500 0.871
Tc3 Tc 0.500 0.000 0.371
Tc4 Tc 0.500 0.000 0.629
```

Output
calculated density	11.7	g/cm3



Entry Q
PuInTc | PBE-GGA | optimized geometry

```
data_PuInTc
_chemical_formula_sum 'Pu2 In2 Tc2'
_cell_length_a 3.269
_cell_length_b 3.269
_cell_length_c 11.831
_cell_angle_alpha 90.00
_cell_angle_beta 90.00
_cell_angle_gamma 90.00
_space_group_name_H-M_alt 'P 1'
_space_group_IT_number 1
_space_group_name_Hall 'P 1'
loop_
_atom_site_label
_atom_site_type_symbol
_atom_site_fract_x
_atom_site_fract_y
_atom_site_fract_z
Pu1 Pu 0.000 0.000 0.000
Pu2 Pu 0.500 0.500 0.500
In1 In 0.000 0.000 0.286
In2 In 0.500 0.500 0.786
Tc1 Tc 0.000 0.000 0.640
Tc2 Tc 0.500 0.500 0.140
```

Output
calculated density	12.0	g/cm3



Most stable: entry Q. Least stable: entry P.



Entry P
PuThIn | PBE-GGA | optimized geometry

```
data_PuThIn
_chemical_formula_sum 'Pu1 Th1 In1'
_cell_length_a 5.366
_cell_length_b 5.366
_cell_length_c 3.258
_cell_angle_alpha 90.00
_cell_angle_beta 90.00
_cell_angle_gamma 120.00
_space_group_name_H-M_alt 'P 1'
_space_group_IT_number 1
_space_group_name_Hall 'P 1'
loop_
_atom_site_label
_atom_site_type_symbol
_atom_site_fract_x
_atom_site_fract_y
_atom_site_fract_z
Pu1 Pu 0.000 0.000 0.000
Th1 Th 0.333 0.667 0.000
In1 In 0.667 0.333 0.500
```

Output
calculated density	12.1	g/cm3



Entry Q
PuThIn | PBE-GGA | optimized geometry

```
data_PuThIn
_chemical_formula_sum 'Pu2 Th2 In2'
_cell_length_a 4.035
_cell_length_b 4.035
_cell_length_c 10.264
_cell_angle_alpha 90.00
_cell_angle_beta 90.00
_cell_angle_gamma 90.00
_space_group_name_H-M_alt 'P 1'
_space_group_IT_number 1
_space_group_name_Hall 'P 1'
loop_
_atom_site_label
_atom_site_type_symbol
_atom_site_fract_x
_atom_site_fract_y
_atom_site_fract_z
Pu1 Pu 0.000 0.000 0.000
Pu2 Pu 0.500 0.500 0.500
Th1 Th 0.000 0.000 0.669
Th2 Th 0.500 0.500 0.169
In1 In 0.000 0.000 0.337
In2 In 0.500 0.500 0.837
```

Output
calculated density	11.7	g/cm3



Entry R
PuThIn | PBE-GGA | optimized geometry

```
data_PuThIn
_chemical_formula_sum 'Pu2 Th2 In2'
_cell_length_a 5.400
_cell_length_b 3.473
_cell_length_c 8.595
_cell_angle_alpha 90.00
_cell_angle_beta 107.91
_cell_angle_gamma 90.00
_space_group_name_H-M_alt 'P 1'
_space_group_IT_number 1
_space_group_name_Hall 'P 1'
loop_
_atom_site_label
_atom_site_type_symbol
_atom_site_fract_x
_atom_site_fract_y
_atom_site_fract_z
Pu1 Pu 0.045 0.250 0.093
Pu2 Pu 0.955 0.750 0.907
Th1 Th 0.407 0.250 0.810
Th2 Th 0.593 0.750 0.190
In1 In 0.220 0.750 0.445
In2 In 0.780 0.250 0.555
```

Output
calculated density	12.8	g/cm3



Most stable: entry Q. Least stable: entry P.



Entry P
PuThIn4 | PBE-GGA | optimized geometry

```
data_PuThIn4
_chemical_formula_sum 'Pu1 Th1 In4'
_cell_length_a 3.521
_cell_length_b 5.088
_cell_length_c 8.860
_cell_angle_alpha 90.00
_cell_angle_beta 90.00
_cell_angle_gamma 90.00
_space_group_name_H-M_alt 'P 1'
_space_group_IT_number 1
_space_group_name_Hall 'P 1'
loop_
_atom_site_label
_atom_site_type_symbol
_atom_site_fract_x
_atom_site_fract_y
_atom_site_fract_z
Pu1 Pu 0.000 0.000 0.000
Th1 Th 0.000 0.500 0.500
In1 In 0.500 0.000 0.331
In2 In 0.500 0.000 0.669
In3 In 0.500 0.500 0.164
In4 In 0.500 0.500 0.836
```

Output
calculated density	9.8	g/cm3



Entry Q
PuThIn4 | PBE-GGA | optimized geometry

```
data_PuThIn4
_chemical_formula_sum 'Pu1 Th1 In4'
_cell_length_a 6.046
_cell_length_b 6.046
_cell_length_c 6.046
_cell_angle_alpha 60.00
_cell_angle_beta 60.00
_cell_angle_gamma 60.00
_space_group_name_H-M_alt 'P 1'
_space_group_IT_number 1
_space_group_name_Hall 'P 1'
loop_
_atom_site_label
_atom_site_type_symbol
_atom_site_fract_x
_atom_site_fract_y
_atom_site_fract_z
Pu1 Pu 0.000 0.000 0.000
Th1 Th 0.750 0.750 0.750
In1 In 0.375 0.375 0.375
In2 In 0.375 0.375 0.875
In3 In 0.375 0.875 0.375
In4 In 0.875 0.375 0.375
```

Output
calculated density	9.9	g/cm3



Most stable: entry P. Least stable: entry Q.



Entry P
PuThTlIn | PBE-GGA | optimized geometry

```
data_PuThTlIn
_chemical_formula_sum 'Pu4 Th4 Tl4 In4'
_cell_length_a 7.714
_cell_length_b 7.714
_cell_length_c 7.714
_cell_angle_alpha 90.00
_cell_angle_beta 90.00
_cell_angle_gamma 90.00
_space_group_name_H-M_alt 'P 1'
_space_group_IT_number 1
_space_group_name_Hall 'P 1'
loop_
_atom_site_label
_atom_site_type_symbol
_atom_site_fract_x
_atom_site_fract_y
_atom_site_fract_z
Pu1 Pu 0.000 0.000 0.000
Pu2 Pu 0.000 0.500 0.500
Pu3 Pu 0.500 0.000 0.500
Pu4 Pu 0.500 0.500 0.000
Th1 Th 0.000 0.000 0.500
Th2 Th 0.000 0.500 0.000
Th3 Th 0.500 0.000 0.000
Th4 Th 0.500 0.500 0.500
Tl1 Tl 0.250 0.250 0.250
Tl2 Tl 0.250 0.750 0.750
Tl3 Tl 0.750 0.250 0.750
Tl4 Tl 0.750 0.750 0.250
In1 In 0.250 0.250 0.750
In2 In 0.250 0.750 0.250
In3 In 0.750 0.250 0.250
In4 In 0.750 0.750 0.750
```

Output
calculated density	11.5	g/cm3



Entry Q
PuThTlIn | PBE-GGA | optimized geometry

```
data_PuThTlIn
_chemical_formula_sum 'Pu1 Th1 Tl1 In1'
_cell_length_a 4.728
_cell_length_b 4.836
_cell_length_c 4.848
_cell_angle_alpha 90.00
_cell_angle_beta 90.00
_cell_angle_gamma 90.00
_space_group_name_H-M_alt 'P 1'
_space_group_IT_number 1
_space_group_name_Hall 'P 1'
loop_
_atom_site_label
_atom_site_type_symbol
_atom_site_fract_x
_atom_site_fract_y
_atom_site_fract_z
Pu1 Pu 0.000 0.000 0.000
Th1 Th 0.000 0.500 0.500
Tl1 Tl 0.500 0.000 0.500
In1 In 0.500 0.500 0.000
```

Output
calculated density	11.9	g/cm3



Most stable: entry Q. Least stable: entry P.



Entry P
PuTi2In | PBE-GGA | optimized geometry

```
data_PuTi2In
_chemical_formula_sum 'Pu1 Ti2 In1'
_cell_length_a 4.944
_cell_length_b 4.944
_cell_length_c 3.179
_cell_angle_alpha 90.00
_cell_angle_beta 90.00
_cell_angle_gamma 90.00
_space_group_name_H-M_alt 'P 1'
_space_group_IT_number 1
_space_group_name_Hall 'P 1'
loop_
_atom_site_label
_atom_site_type_symbol
_atom_site_fract_x
_atom_site_fract_y
_atom_site_fract_z
Pu1 Pu 0.000 0.000 0.000
Ti1 Ti 0.000 0.500 0.500
Ti2 Ti 0.500 0.000 0.500
In1 In 0.500 0.500 0.000
```

Output
calculated density	9.7	g/cm3



Entry Q
PuTi2In | PBE-GGA | optimized geometry

```
data_PuTi2In
_chemical_formula_sum 'Pu4 Ti8 In4'
_cell_length_a 6.829
_cell_length_b 6.829
_cell_length_c 6.829
_cell_angle_alpha 90.00
_cell_angle_beta 90.00
_cell_angle_gamma 90.00
_space_group_name_H-M_alt 'P 1'
_space_group_IT_number 1
_space_group_name_Hall 'P 1'
loop_
_atom_site_label
_atom_site_type_symbol
_atom_site_fract_x
_atom_site_fract_y
_atom_site_fract_z
Pu1 Pu 0.000 0.000 0.000
Pu2 Pu 0.000 0.500 0.500
Pu3 Pu 0.500 0.000 0.500
Pu4 Pu 0.500 0.500 0.000
Ti1 Ti 0.250 0.250 0.250
Ti2 Ti 0.250 0.250 0.750
Ti3 Ti 0.250 0.750 0.250
Ti4 Ti 0.250 0.750 0.750
Ti5 Ti 0.750 0.250 0.250
Ti6 Ti 0.750 0.250 0.750
Ti7 Ti 0.750 0.750 0.250
Ti8 Ti 0.750 0.750 0.750
In1 In 0.000 0.000 0.500
In2 In 0.000 0.500 0.000
In3 In 0.500 0.000 0.000
In4 In 0.500 0.500 0.500
```

Output
calculated density	9.5	g/cm3



Entry R
PuTi2In | PBE-GGA | optimized geometry

```
data_PuTi2In
_chemical_formula_sum 'Pu3 Ti6 In3'
_cell_length_a 3.140
_cell_length_b 3.140
_cell_length_c 28.476
_cell_angle_alpha 90.00
_cell_angle_beta 90.00
_cell_angle_gamma 120.00
_space_group_name_H-M_alt 'P 1'
_space_group_IT_number 1
_space_group_name_Hall 'P 1'
loop_
_atom_site_label
_atom_site_type_symbol
_atom_site_fract_x
_atom_site_fract_y
_atom_site_fract_z
Pu1 Pu 0.000 0.000 0.000
Pu2 Pu 0.333 0.667 0.667
Pu3 Pu 0.667 0.333 0.333
Ti1 Ti 0.000 0.000 0.251
Ti2 Ti 0.000 0.000 0.749
Ti3 Ti 0.333 0.667 0.416
Ti4 Ti 0.333 0.667 0.918
Ti5 Ti 0.667 0.333 0.082
Ti6 Ti 0.667 0.333 0.584
In1 In 0.000 0.000 0.500
In2 In 0.333 0.667 0.167
In3 In 0.667 0.333 0.833
```

Output
calculated density	9.3	g/cm3



Most stable: entry P. Least stable: entry R.



Entry P
PuTiIn | PBE-GGA | optimized geometry

```
data_PuTiIn
_chemical_formula_sum 'Pu4 Ti4 In4'
_cell_length_a 7.750
_cell_length_b 5.871
_cell_length_c 5.249
_cell_angle_alpha 90.00
_cell_angle_beta 107.76
_cell_angle_gamma 90.00
_space_group_name_H-M_alt 'P 1'
_space_group_IT_number 1
_space_group_name_Hall 'P 1'
loop_
_atom_site_label
_atom_site_type_symbol
_atom_site_fract_x
_atom_site_fract_y
_atom_site_fract_z
Pu1 Pu 0.039 0.186 0.064
Pu2 Pu 0.039 0.314 0.564
Pu3 Pu 0.961 0.686 0.436
Pu4 Pu 0.961 0.814 0.936
Ti1 Ti 0.325 0.113 0.322
Ti2 Ti 0.325 0.387 0.822
Ti3 Ti 0.675 0.613 0.178
Ti4 Ti 0.675 0.887 0.678
In1 In 0.330 0.610 0.317
In2 In 0.330 0.890 0.817
In3 In 0.670 0.110 0.183
In4 In 0.670 0.390 0.683
```

Output
calculated density	11.9	g/cm3



Entry Q
PuTiIn | PBE-GGA | optimized geometry

```
data_PuTiIn
_chemical_formula_sum 'Pu1 Ti1 In1'
_cell_length_a 5.031
_cell_length_b 5.031
_cell_length_c 3.082
_cell_angle_alpha 90.00
_cell_angle_beta 90.00
_cell_angle_gamma 120.00
_space_group_name_H-M_alt 'P 1'
_space_group_IT_number 1
_space_group_name_Hall 'P 1'
loop_
_atom_site_label
_atom_site_type_symbol
_atom_site_fract_x
_atom_site_fract_y
_atom_site_fract_z
Pu1 Pu 0.000 0.000 0.000
Ti1 Ti 0.333 0.667 0.499
In1 In 0.667 0.333 0.501
```

Output
calculated density	10.0	g/cm3



Most stable: entry Q. Least stable: entry P.



Entry P
PuTiIn2 | PBE-GGA | optimized geometry

```
data_PuTiIn2
_chemical_formula_sum 'Pu1 Ti1 In2'
_cell_length_a 4.434
_cell_length_b 4.434
_cell_length_c 4.706
_cell_angle_alpha 90.00
_cell_angle_beta 90.00
_cell_angle_gamma 90.00
_space_group_name_H-M_alt 'P 1'
_space_group_IT_number 1
_space_group_name_Hall 'P 1'
loop_
_atom_site_label
_atom_site_type_symbol
_atom_site_fract_x
_atom_site_fract_y
_atom_site_fract_z
Pu1 Pu 0.000 0.000 0.000
Ti1 Ti 0.500 0.500 0.000
In1 In 0.000 0.500 0.500
In2 In 0.500 0.000 0.500
```

Output
calculated density	9.4	g/cm3



Entry Q
PuTiIn2 | PBE-GGA | optimized geometry

```
data_PuTiIn2
_chemical_formula_sum 'Pu1 Ti1 In2'
_cell_length_a 3.076
_cell_length_b 3.076
_cell_length_c 9.307
_cell_angle_alpha 90.00
_cell_angle_beta 90.00
_cell_angle_gamma 90.00
_space_group_name_H-M_alt 'P 1'
_space_group_IT_number 1
_space_group_name_Hall 'P 1'
loop_
_atom_site_label
_atom_site_type_symbol
_atom_site_fract_x
_atom_site_fract_y
_atom_site_fract_z
Pu1 Pu 0.000 0.000 0.000
Ti1 Ti 0.000 0.000 0.500
In1 In 0.500 0.500 0.275
In2 In 0.500 0.500 0.725
```

Output
calculated density	9.8	g/cm3



Most stable: entry Q. Least stable: entry P.